No. 1
CdSnPb6 | the Alexandria database | PBE | relaxed; crystal system = tetragonal; density of states at the Fermi level = 0.492 states/eV per atom
1.0
4.9231 0.0000 0.0000
0.0000 4.9231 0.0000
0.0000 0.0000 9.9963
Cd Sn Pb
1 1 6
Direct
0.0000 0.0000 0.0000
0.0000 0.0000 0.5000
0.0000 0.5000 0.2465
0.0000 0.5000 0.7535
0.5000 0.0000 0.2465
0.5000 0.0000 0.7535
0.5000 0.5000 0.0000
0.5000 0.5000 0.5000



No. 2
Np2Al3Zn | the Alexandria database | PBE | relaxed; crystal system = hexagonal; density of states at the Fermi level = 1.634 states/eV per atom
1.0
5.6070 0.0000 0.0000
-2.8035 4.8558 0.0000
0.0000 0.0000 8.3088
Np Al Zn
4 6 2
Direct
0.3333 0.6667 0.0942
0.3333 0.6667 0.4058
0.6667 0.3333 0.5942
0.6667 0.3333 0.9058
0.1721 0.3442 0.7500
0.1721 0.8279 0.7500
0.3442 0.1721 0.2500
0.6558 0.8279 0.7500
0.8279 0.1721 0.2500
0.8279 0.6558 0.2500
0.0000 0.0000 0.0000
0.0000 0.0000 0.5000



| no. | formation enthalpy at 0 K (eV per atom) | total moment (μB per cell) |
| --- | --- | --- |
| 1 | 0.03 | 0.00 |
| 2 | -0.13 | 14.85 |